Entry 1:
Below is crystalline LiAsIr2 at its relaxed geometry, with properties calculated at the PBE level.

Summary:
Raw total energy   -6.169 eV/atom
Calculated formation energy   -0.098 eV/atom
Density of states at the Fermi level   1.88 states/eV per cell

```
data_LiAsIr2
_cell_length_a 2.807
_cell_length_b 3.973
_cell_length_c 5.070
_cell_angle_alpha 90.00
_cell_angle_beta 90.00
_cell_angle_gamma 90.00
_space_group_name_H-M_alt 'P 1'
_space_group_IT_number 1
_space_group_name_Hall 'P 1'
loop_
_atom_site_label
_atom_site_type_symbol
_atom_site_fract_x
_atom_site_fract_y
_atom_site_fract_z
Li1 Li 0.000 0.000 0.000
As1 As 0.500 0.500 0.265
Ir1 Ir 0.000 0.000 0.504
Ir2 Ir 0.500 0.500 0.768
```

Entry 2:
Below is crystalline ErAl4Ag at its relaxed geometry, with properties calculated at the PBE level.

Summary:
Raw total energy   -3.876 eV/atom
Calculated formation energy   -0.145 eV/atom
Distance to the lowest polymorph of the same formula   13 meV/atom
Density of states at the Fermi level   3.24 states/eV per cell

```
data_ErAl4Ag
_cell_length_a 5.457
_cell_length_b 5.457
_cell_length_c 5.457
_cell_angle_alpha 60.00
_cell_angle_beta 60.00
_cell_angle_gamma 60.00
_space_group_name_H-M_alt 'P 1'
_space_group_IT_number 1
_space_group_name_Hall 'P 1'
loop_
_atom_site_label
_atom_site_type_symbol
_atom_site_fract_x
_atom_site_fract_y
_atom_site_fract_z
Er1 Er 0.000 0.000 0.000
Al1 Al 0.374 0.374 0.374
Al2 Al 0.374 0.374 0.878
Al3 Al 0.374 0.878 0.374
Al4 Al 0.878 0.374 0.374
Ag1 Ag 0.750 0.750 0.750
```